6
Lattice="4.2290 0.0000 0.0000 0.0000 4.4735 0.0000 0.0000 0.0000 7.7694" Properties=species:S:1:pos:R:3 comment="Ac2Pt3Rh, optimized geometry, DFT PBE" e_form_ev_per_atom=-0.94 pbc="T T T"
Ac 0.0000 0.0000 0.0000
Ac 0.0000 2.2368 3.8342
Pt 2.1145 0.0000 5.1218
Pt 2.1145 2.2368 1.2949
Pt 2.1145 2.2368 6.4564
Rh 2.1145 0.0000 2.5578